GGA-PBE TiBe2Co, relaxed; magnetic moment = 0.000 μB/atom; VASP energy = -5.868 eV per atom; D(E_F) = 1.9 states/eV/f.u.; ΔE to the lowest computed polymorph = 0 meV per atom; energy of formation = -0.255 eV per atom; symmetry = Fm-3m
1.0
0.927 -3.000 -2.291
-2.587 -1.361 -2.562
0.555 0.559 -3.806
Ti Be Co
1 2 1
direct
0.000 0.000 0.000 Ti
0.750 0.750 0.750 Be
0.250 0.250 0.250 Be
0.500 0.500 0.500 Co

=====

GGA-PBE Si2HgPb2, relaxed; magnetic moment = 0.000 μB/atom; VASP energy = -3.389 eV per atom; D(E_F) = 1.5 states/eV/f.u.; ΔE to the lowest computed polymorph = 95 meV per atom; formation energy (no corrections) = 323 meV/atom; symmetry = P4/mbm
1.0
7.106 0.000 0.000
0.000 7.106 0.000
0.000 0.000 4.860
Pb Si Hg
4 4 2
direct
0.687 0.813 0.500 Pb
0.813 0.313 0.500 Pb
0.187 0.687 0.500 Pb
0.313 0.187 0.500 Pb
0.118 0.382 0.000 Si
0.882 0.618 0.000 Si
0.618 0.118 0.000 Si
0.382 0.882 0.000 Si
0.000 0.000 0.000 Hg
0.500 0.500 0.000 Hg

=====

GGA-PBE PuMn3C2, relaxed; magnetic moment = 1.086 μB/atom; VASP energy = -10.089 eV per atom; D(E_F) = 8.5 states/eV/f.u.; energy of formation = -0.041 eV per atom; symmetry = C2/m
1.0
-2.687 1.535 0.243
-0.336 -2.875 -5.382
-2.224 -4.804 5.776
C Mn Pu
4 6 2
direct
0.219 0.438 0.807 C
0.527 0.054 0.231 C
0.473 0.946 0.769 C
0.781 0.562 0.193 C
0.283 0.566 0.615 Mn
0.380 0.759 0.323 Mn
0.620 0.241 0.677 Mn
0.941 0.882 0.608 Mn
0.717 0.434 0.385 Mn
0.059 0.118 0.392 Mn
0.878 0.755 0.976 Pu
0.122 0.245 0.024 Pu